Density functional theory data (PBE) for a relaxed K2SrH crystal.

a b c (Å): 8.265 8.265 8.265
angles (deg): 120.00 120.00 90.00
Fractional coordinates of all 8 atoms:
1 K 0.375 0.127 0.252
2 K 0.873 0.125 0.248
3 K 0.875 0.123 0.748
4 K 0.877 0.625 0.752
5 Sr 0.250 0.750 0.500
6 Sr 0.500 0.500 0.000
7 H 0.000 0.000 0.000
8 H 0.750 0.250 0.500

Calculated values
Relative energy among the computed polymorphs (meV per atom): 81
Total magnetization (Bohr magnetons per cell): 2.00